No. 1
Crystalline Mg30AlZnO32 at its relaxed geometry, computed with GGA-PBE.

Computed properties:
- N(E_F): 2.40 states/eV/cell
- DFT total energy: -379.85 eV for the cell shown

CIF file:
```
data_Mg30AlZnO32
_space_group_name_H-M_alt 'P 1'
_space_group_IT_number 1
_space_group_name_Hall 'P 1'
_cell_length_a 8.5426
_cell_length_b 8.5426
_cell_length_c 8.5355
_cell_angle_alpha 90.00
_cell_angle_beta 90.00
_cell_angle_gamma 90.00
loop_
_atom_site_label
_atom_site_fract_x
_atom_site_fract_y
_atom_site_fract_z
_atom_site_occupancy
Mg1 0.0000 0.0000 0.0000 1
Mg2 0.0000 0.2493 0.2501 1
Mg3 0.0000 0.2493 0.7499 1
Mg4 0.0000 0.5000 0.0000 1
Mg5 0.0000 0.5000 0.5000 1
Mg6 0.0000 0.7507 0.2501 1
Mg7 0.0000 0.7507 0.7499 1
Mg8 0.2493 0.0000 0.2501 1
Mg9 0.2493 0.0000 0.7499 1
Mg10 0.2494 0.2494 0.0000 1
Mg11 0.2488 0.2488 0.5000 1
Mg12 0.2492 0.5000 0.2495 1
Mg13 0.2492 0.5000 0.7505 1
Mg14 0.2494 0.7506 0.0000 1
Mg15 0.2488 0.7512 0.5000 1
Mg16 0.5000 0.0000 0.0000 1
Mg17 0.5000 0.0000 0.5000 1
Mg18 0.5000 0.2492 0.2495 1
Mg19 0.5000 0.2492 0.7505 1
Mg20 0.5000 0.5000 0.0000 1
Mg21 0.5000 0.7508 0.2495 1
Mg22 0.5000 0.7508 0.7505 1
Mg23 0.7507 0.0000 0.2501 1
Mg24 0.7507 0.0000 0.7499 1
Mg25 0.7506 0.2494 0.0000 1
Mg26 0.7512 0.2488 0.5000 1
Mg27 0.7508 0.5000 0.2495 1
Mg28 0.7508 0.5000 0.7505 1
Mg29 0.7506 0.7506 0.0000 1
Mg30 0.7512 0.7512 0.5000 1
Al1 0.5000 0.5000 0.5000 1
Zn1 0.0000 0.0000 0.5000 1
O1 0.0000 0.0000 0.2413 1
O2 0.0000 0.0000 0.7587 1
O3 0.0000 0.2526 0.0000 1
O4 0.0000 0.2625 0.5000 1
O5 0.0000 0.5000 0.2506 1
O6 0.0000 0.5000 0.7494 1
O7 0.0000 0.7375 0.5000 1
O8 0.0000 0.7474 0.0000 1
O9 0.2508 0.2508 0.2504 1
O10 0.2508 0.2508 0.7496 1
O11 0.2508 0.7492 0.2504 1
O12 0.2508 0.7492 0.7496 1
O13 0.2526 0.0000 0.0000 1
O14 0.2534 0.5000 0.0000 1
O15 0.2625 0.0000 0.5000 1
O16 0.2679 0.5000 0.5000 1
O17 0.5000 0.0000 0.2506 1
O18 0.5000 0.0000 0.7494 1
O19 0.5000 0.2534 0.0000 1
O20 0.5000 0.2679 0.5000 1
O21 0.5000 0.5000 0.2643 1
O22 0.5000 0.5000 0.7357 1
O23 0.5000 0.7321 0.5000 1
O24 0.5000 0.7466 0.0000 1
O25 0.7321 0.5000 0.5000 1
O26 0.7375 0.0000 0.5000 1
O27 0.7474 0.0000 0.0000 1
O28 0.7466 0.5000 0.0000 1
O29 0.7492 0.2508 0.2504 1
O30 0.7492 0.2508 0.7496 1
O31 0.7492 0.7492 0.2504 1
O32 0.7492 0.7492 0.7496 1
```

No. 2
Crystalline Ba2H8PtO8 at its relaxed geometry, computed with GGA-PBE.

Computed properties:
- N(E_F): 0.00 states/eV/cell
- DFT total energy: -411.81 eV for the cell shown

CIF file:
```
data_Ba2H8PtO8
_space_group_name_H-M_alt 'P 1'
_space_group_IT_number 1
_space_group_name_Hall 'P 1'
_cell_length_a 8.7484
_cell_length_b 8.8768
_cell_length_c 10.4285
_cell_angle_alpha 90.00
_cell_angle_beta 90.00
_cell_angle_gamma 90.00
loop_
_atom_site_label
_atom_site_fract_x
_atom_site_fract_y
_atom_site_fract_z
_atom_site_occupancy
Ba1 0.2175 0.2205 0.2249 1
Ba2 0.2175 0.2795 0.7249 1
Ba3 0.2825 0.7205 0.2249 1
Ba4 0.2825 0.7795 0.7249 1
Ba5 0.7175 0.2205 0.2751 1
Ba6 0.7175 0.2795 0.7751 1
Ba7 0.7825 0.7205 0.2751 1
Ba8 0.7825 0.7795 0.7751 1
H1 0.0088 0.5141 0.7605 1
H2 0.0088 0.9859 0.2605 1
H3 0.0267 0.7180 0.4949 1
H4 0.0267 0.7820 0.9949 1
H5 0.0308 0.0155 0.9115 1
H6 0.0308 0.4845 0.4115 1
H7 0.2165 0.5444 0.4897 1
H8 0.2165 0.9556 0.9897 1
H9 0.2835 0.0444 0.4897 1
H10 0.2835 0.4556 0.9897 1
H11 0.4692 0.5155 0.9115 1
H12 0.4692 0.9845 0.4115 1
H13 0.4733 0.2180 0.4949 1
H14 0.4733 0.2820 0.9949 1
H15 0.4912 0.0141 0.7605 1
H16 0.4912 0.4859 0.2605 1
H17 0.5088 0.5141 0.7395 1
H18 0.5088 0.9859 0.2395 1
H19 0.5267 0.7180 0.0051 1
H20 0.5267 0.7820 0.5051 1
H21 0.5308 0.0155 0.5885 1
H22 0.5308 0.4845 0.0885 1
H23 0.7165 0.5444 0.0103 1
H24 0.7165 0.9556 0.5103 1
H25 0.7835 0.0444 0.0103 1
H26 0.7835 0.4556 0.5103 1
H27 0.9692 0.5155 0.5885 1
H28 0.9692 0.9845 0.0885 1
H29 0.9733 0.2180 0.0051 1
H30 0.9733 0.2820 0.5051 1
H31 0.9912 0.0141 0.7395 1
H32 0.9912 0.4859 0.2395 1
Pt1 0.0000 0.0000 0.5000 1
Pt2 0.0000 0.5000 0.0000 1
Pt3 0.5000 0.0000 0.0000 1
Pt4 0.5000 0.5000 0.5000 1
O1 0.0012 0.7161 0.0697 1
O2 0.0012 0.7839 0.5697 1
O3 0.0653 0.5787 0.3730 1
O4 0.0653 0.9213 0.8730 1
O5 0.0715 0.5718 0.8240 1
O6 0.0715 0.9282 0.3240 1
O7 0.2178 0.0256 0.5661 1
O8 0.2178 0.4744 0.0661 1
O9 0.2822 0.5256 0.5661 1
O10 0.2822 0.9744 0.0661 1
O11 0.4285 0.0718 0.8240 1
O12 0.4285 0.4282 0.3240 1
O13 0.4347 0.0787 0.3730 1
O14 0.4347 0.4213 0.8730 1
O15 0.4988 0.2161 0.0697 1
O16 0.4988 0.2839 0.5697 1
O17 0.5012 0.7161 0.4303 1
O18 0.5012 0.7839 0.9303 1
O19 0.5653 0.5787 0.1270 1
O20 0.5653 0.9213 0.6270 1
O21 0.5715 0.5718 0.6760 1
O22 0.5715 0.9282 0.1760 1
O23 0.7178 0.0256 0.9339 1
O24 0.7178 0.4744 0.4339 1
O25 0.7822 0.5256 0.9339 1
O26 0.7822 0.9744 0.4339 1
O27 0.9285 0.0718 0.6760 1
O28 0.9285 0.4282 0.1760 1
O29 0.9347 0.0787 0.1270 1
O30 0.9347 0.4213 0.6270 1
O31 0.9988 0.2161 0.4303 1
O32 0.9988 0.2839 0.9303 1
```

No. 3
Crystalline CaBeSi at its relaxed geometry, computed with GGA-PBE.

Computed properties:
- N(E_F): 2.05 states/eV/cell
- DFT total energy: -23.88 eV for the cell shown

CIF file:
```
data_CaBeSi
_space_group_name_H-M_alt 'P 1'
_space_group_IT_number 1
_space_group_name_Hall 'P 1'
_cell_length_a 3.9311
_cell_length_b 4.2575
_cell_length_c 6.8473
_cell_angle_alpha 90.00
_cell_angle_beta 90.00
_cell_angle_gamma 90.00
loop_
_atom_site_label
_atom_site_fract_x
_atom_site_fract_y
_atom_site_fract_z
_atom_site_occupancy
Ca1 0.0000 0.0000 0.0000 1
Ca2 0.5000 0.0000 0.5000 1
Be1 0.0000 0.5000 0.3347 1
Be2 0.0000 0.5000 0.6653 1
Si1 0.5000 0.5000 0.1761 1
Si2 0.5000 0.5000 0.8239 1
```